(1)
! Pb3AuN | Alexandria | PBE | optimized geometry; values from VASP
! - raw total energy (eV/cell) = -15.76
! - ΔE_f (raw) (eV per atom) = 1.393
! - DOS at the Fermi energy (states/eV per atom) = 1.18
! - offset from the most stable computed form (eV/atom) = 1.115
&SYSTEM
  ibrav = 0, nat = 5, ntyp = 3
/
ATOMIC_SPECIES
Pb 207.20 Pb.upf
Au 196.97 Au.upf
N 14.01 N.upf
CELL_PARAMETERS angstrom
5.4866 0.0000 0.0000
0.0000 5.4866 0.0000
0.0000 0.0000 5.4866
ATOMIC_POSITIONS angstrom
Pb 0.0000 0.0000 2.7433
Pb 2.7433 0.0000 0.0000
Pb 0.0000 2.7433 0.0000
Au 0.0000 0.0000 0.0000
N 2.7433 2.7433 2.7433



(2)
! NaPr6Te8 | Alexandria | PBE | optimized geometry; values from VASP
! - raw total energy (eV/cell) = -76.29
! - ΔE_f (raw) (eV per atom) = -1.411
! - DOS at the Fermi energy (states/eV per atom) = 0.30
! - offset from the most stable computed form (eV/atom) = 0.000
&SYSTEM
  ibrav = 0, nat = 15, ntyp = 3
/
ATOMIC_SPECIES
Te 127.60 Te.upf
Pr 140.91 Pr.upf
Na 22.99 Na.upf
CELL_PARAMETERS angstrom
7.8269 0.0000 4.5189
2.6090 7.3793 4.5189
0.0000 0.0000 9.0377
ATOMIC_POSITIONS angstrom
Te 3.9335 5.5061 11.2624
Te 3.9335 5.5061 6.8131
Te 2.6090 1.8448 4.5189
Te 2.6491 1.8732 9.0377
Te 6.5023 1.8732 6.8131
Te 6.5023 1.8732 11.2624
Te 7.7867 5.5061 9.0377
Te 7.8269 5.5344 13.5566
Pr 0.0000 0.0000 4.5189
Pr 1.3045 3.6896 6.7783
Pr 1.3045 3.6896 2.2594
Pr 3.9134 0.0000 6.7783
Pr 3.9134 0.0000 2.2594
Pr 5.2179 3.6896 4.5189
Na 0.0000 0.0000 0.0000